# CoHgSbTe2

An optimized crystal structure of CoHgSbTe2 (GGA-PBEsol, Alexandria).

The structure belongs to space group P4/mmm (No. 123); the cell edges are 5.147, 5.147 and 4.685 Å and the angles 90.00°, 90.00° and 90.00°. Symmetry generates all atoms from Co at (0.000, 0.000, 0.000), Hg at (0.500, 0.500, 0.500), Sb at (0.000, 0.000, 0.500) and Te at (0.000, 0.500, 0.000).

The value obtained for the raw total energy is -3.6657 eV/atom. As for the formation energy (no corrections): 317 meV/atom. The energy above the most stable polymorph in this dataset is 0.000 eV per atom.